Computed, not measured: a geometry-optimized Tc7As6 structure at the GGA-PBE level of DFT.

Geometry as extended XYZ:
```
13
Lattice="-7.389 2.653 -4.781 -7.500 -2.743 -4.552 -9.184 0.175 -0.330" Properties=species:S:1:pos:R:3 pbc="T T T"
Tc -10.168 1.404 -3.320
Tc -13.905 -1.320 -6.344
Tc -13.851 1.347 -6.457
Tc -9.335 -0.038 -5.406
Tc -10.222 -1.262 -3.206
Tc -12.036 0.042 -4.832
Tc -14.738 0.122 -4.257
As -19.778 0.069 -7.939
As -16.050 0.056 -6.443
As -8.023 0.028 -3.221
As -4.295 0.015 -1.724
As -22.739 0.080 -9.128
As -1.334 0.005 -0.536
```

total magnetization	3.08	μB per cell
ΔE_f	0.268	eV per atom
calculated total energy	-7.4598	eV per atom
crystal system	trigonal



Computed, not measured: a geometry-optimized TcAs structure at the GGA-PBE level of DFT.

Geometry as extended XYZ:
```
12
Lattice="4.328 0.000 0.000 -2.164 3.749 0.000 0.000 0.000 12.042" Properties=species:S:1:pos:R:3 pbc="T T T"
As 0.000 0.000 4.781
As 2.164 1.250 3.637
As 0.000 2.499 8.405
As 0.000 0.000 7.261
As 2.164 1.250 0.811
As 0.000 2.499 11.231
Tc 0.000 2.499 4.990
Tc 2.164 1.250 9.947
Tc 0.000 2.499 2.095
Tc 2.164 1.250 7.052
Tc 0.000 0.000 1.356
Tc 0.000 0.000 10.686
```

total magnetization	0.00	μB per cell
ΔE_f	0.307	eV per atom
calculated total energy	-7.2007	eV per atom
crystal system	trigonal
offset from the most stable computed form	49.2	kJ/mol of atoms



Computed, not measured: a geometry-optimized TcAs3 structure at the GGA-PBE level of DFT.

Geometry as extended XYZ:
```
4
Lattice="-4.428 -1.606 0.619 0.898 -1.232 3.227 -0.897 3.439 2.507" Properties=species:S:1:pos:R:3 pbc="T T T"
As -2.214 0.852 4.610
As -0.008 0.128 0.273
As 0.009 0.975 2.594
Tc -2.214 -0.251 1.743
```

total magnetization	0.00	μB per cell
ΔE_f	0.246	eV per atom
calculated total energy	-5.8323	eV per atom
crystal system	monoclinic
offset from the most stable computed form	30.1	kJ/mol of atoms



Computed, not measured: a geometry-optimized Tc3As structure at the GGA-PBE level of DFT.

Geometry as extended XYZ:
```
4
Lattice="-3.041 1.030 2.197 1.342 -2.221 2.899 2.022 3.024 1.380" Properties=species:S:1:pos:R:3 pbc="T T T"
Tc -0.849 -0.595 2.548
Tc -0.510 2.027 1.789
Tc 1.682 0.402 2.140
As 0.000 0.000 0.000
```

total magnetization	1.00	μB per cell
ΔE_f	0.371	eV per atom
calculated total energy	-8.5655	eV per atom
crystal system	cubic
offset from the most stable computed form	38.4	kJ/mol of atoms



Computed, not measured: a geometry-optimized Tc2As structure at the GGA-PBE level of DFT.

Geometry as extended XYZ:
```
6
Lattice="-2.858 -4.606 0.830 -0.760 -4.531 2.996 -3.953 1.687 3.772" Properties=species:S:1:pos:R:3 pbc="T T T"
Tc -4.764 -1.015 4.652
Tc -0.081 -0.050 0.080
Tc -5.022 -4.897 5.038
Tc -5.752 -7.548 5.837
As -2.611 -2.389 2.614
As -3.221 -5.210 3.304
```

total magnetization	0.00	μB per cell
ΔE_f	-0.138	eV per atom
calculated total energy	-8.5984	eV per atom
crystal system	monoclinic
offset from the most stable computed form	0.0	kJ/mol of atoms



Computed, not measured: a geometry-optimized TcAs3 structure at the GGA-PBE level of DFT.

Geometry as extended XYZ:
```
16
Lattice="5.793 0.000 0.000 -2.897 5.017 0.000 0.000 0.000 9.570" Properties=species:S:1:pos:R:3 pbc="T T T"
As 4.471 0.764 2.392
As 1.323 0.764 2.392
As 2.897 0.000 0.000
As 1.448 2.508 4.785
As -1.574 4.253 7.177
As 1.574 4.253 7.177
As -1.448 2.508 4.785
As -1.448 2.508 0.000
As 2.897 0.000 4.785
As 2.897 3.490 2.392
As 1.448 2.508 0.000
As 0.000 1.527 7.177
Tc 0.000 0.000 0.000
Tc 0.000 0.000 4.785
Tc 0.000 3.345 2.392
Tc 2.897 1.672 7.177
```

total magnetization	2.06	μB per cell
ΔE_f	0.532	eV per atom
calculated total energy	-5.5468	eV per atom
crystal system	hexagonal
offset from the most stable computed form	57.6	kJ/mol of atoms



Computed, not measured: a geometry-optimized TcAs8 structure at the GGA-PBE level of DFT.

Geometry as extended XYZ:
```
9
Lattice="-5.088 5.088 2.015 5.088 -5.088 2.015 5.088 5.088 -2.015" Properties=species:S:1:pos:R:3 pbc="T T T"
As 3.826 3.826 0.000
As 1.262 1.262 2.015
As 0.000 3.803 0.000
As 3.803 0.000 0.000
As 1.262 -1.262 2.015
As 0.000 6.373 0.000
As 6.373 0.000 0.000
As -1.262 1.262 2.015
Tc 0.000 0.000 0.000
```

total magnetization	1.40	μB per cell
ΔE_f	0.346	eV per atom
calculated total energy	-4.9384	eV per atom
crystal system	tetragonal



Computed, not measured: a geometry-optimized TcAs structure at the GGA-PBE level of DFT.

Geometry as extended XYZ:
```
16
Lattice="11.430 0.000 0.000 0.000 11.430 0.000 0.000 0.000 3.110" Properties=species:S:1:pos:R:3 pbc="T T T"
As 2.717 4.156 1.555
As 7.706 10.386 0.000
As 7.274 2.717 1.555
As 3.724 1.045 0.000
As 10.386 3.724 0.000
As 8.714 7.274 1.555
As 1.045 7.706 0.000
As 4.156 8.714 1.555
Tc 6.215 1.173 0.000
Tc 2.707 6.747 1.555
Tc 6.747 8.723 1.555
Tc 5.216 10.257 0.000
Tc 10.257 6.215 0.000
Tc 8.723 4.683 1.555
Tc 4.683 2.707 1.555
Tc 1.173 5.216 0.000
```

total magnetization	0.00	μB per cell
ΔE_f	0.155	eV per atom
calculated total energy	-7.3529	eV per atom
crystal system	tetragonal
offset from the most stable computed form	34.6	kJ/mol of atoms



Computed, not measured: a geometry-optimized TcAs structure at the GGA-PBE level of DFT.

Geometry as extended XYZ:
```
4
Lattice="-2.443 9.568 3.283 -3.622 9.737 0.597 -5.171 8.582 2.811" Properties=species:S:1:pos:R:3 pbc="T T T"
As -10.921 27.105 6.503
As -8.742 21.696 5.206
Tc -2.740 6.802 1.632
Tc -5.686 14.113 3.386
```

total magnetization	0.00	μB per cell
ΔE_f	0.018	eV per atom
calculated total energy	-7.4896	eV per atom
crystal system	trigonal
offset from the most stable computed form	21.4	kJ/mol of atoms



Computed, not measured: a geometry-optimized TcAs3 structure at the GGA-PBE level of DFT.

Geometry as extended XYZ:
```
4
Lattice="4.627 0.017 -0.025 3.515 3.010 -0.025 0.868 0.323 4.989" Properties=species:S:1:pos:R:3 pbc="T T T"
As 6.594 2.451 3.894
As 4.505 1.675 2.469
As 2.416 0.898 1.044
Tc 0.000 0.000 0.000
```

total magnetization	0.00	μB per cell
ΔE_f	0.219	eV per atom
calculated total energy	-5.8592	eV per atom
crystal system	monoclinic
offset from the most stable computed form	27.5	kJ/mol of atoms



Computed, not measured: a geometry-optimized Tc2As structure at the GGA-PBE level of DFT.

Geometry as extended XYZ:
```
6
Lattice="1.095 0.076 -6.947 -3.745 -0.678 5.914 -0.955 4.379 -0.103" Properties=species:S:1:pos:R:3 pbc="T T T"
Tc -0.566 0.949 -3.192
Tc -3.038 2.828 2.057
Tc -3.787 0.448 5.366
Tc 0.182 3.330 -6.501
As -2.157 0.701 1.037
As -1.447 3.076 -2.171
```

total magnetization	0.00	μB per cell
ΔE_f	0.056	eV per atom
calculated total energy	-8.4042	eV per atom
crystal system	orthorhombic
offset from the most stable computed form	18.7	kJ/mol of atoms



Computed, not measured: a geometry-optimized TcAs structure at the GGA-PBE level of DFT.

Geometry as extended XYZ:
```
16
Lattice="10.814 0.000 0.000 0.000 10.814 0.000 0.000 0.000 2.949" Properties=species:S:1:pos:R:3 pbc="T T T"
Tc 2.411 6.914 0.000
Tc 9.307 7.818 1.474
Tc 2.996 9.307 1.474
Tc 6.914 8.404 0.000
Tc 1.507 2.996 1.474
Tc 8.404 3.900 0.000
Tc 3.900 2.411 0.000
Tc 7.818 1.507 1.474
As 0.881 8.223 1.474
As 9.933 2.591 1.474
As 4.526 7.998 0.000
As 2.591 0.881 1.474
As 6.289 2.816 0.000
As 7.998 6.289 0.000
As 8.223 9.933 1.474
As 2.816 4.526 0.000
```

total magnetization	0.00	μB per cell
ΔE_f	0.163	eV per atom
calculated total energy	-7.3452	eV per atom
crystal system	tetragonal
offset from the most stable computed form	35.3	kJ/mol of atoms



Computed, not measured: a geometry-optimized TcAs3 structure at the GGA-PBE level of DFT.

Geometry as extended XYZ:
```
4
Lattice="-1.299 -2.238 1.367 1.952 1.552 1.531 -6.880 5.775 2.918" Properties=species:S:1:pos:R:3 pbc="T T T"
As -3.199 2.685 1.357
As -4.833 3.988 3.638
As -0.241 0.203 0.102
Tc -1.393 1.101 2.179
```

total magnetization	0.00	μB per cell
ΔE_f	0.342	eV per atom
calculated total energy	-5.7365	eV per atom
crystal system	orthorhombic
offset from the most stable computed form	39.3	kJ/mol of atoms



Computed, not measured: a geometry-optimized TcAs structure at the GGA-PBE level of DFT.

Geometry as extended XYZ:
```
8
Lattice="-3.968 0.802 2.935 -1.604 -4.649 -0.899 2.585 -1.655 3.947" Properties=species:S:1:pos:R:3 pbc="T T T"
As -2.130 -2.922 2.842
As -1.952 -2.748 5.965
As -0.295 -5.180 1.682
As -1.598 -0.154 1.476
Tc -0.193 -2.171 1.508
Tc -0.232 -4.103 3.891
Tc -1.104 -1.186 4.266
Tc -4.446 -3.545 2.300
```

total magnetization	0.00	μB per cell
ΔE_f	-0.195	eV per atom
calculated total energy	-7.7028	eV per atom
crystal system	cubic
offset from the most stable computed form	0.8	kJ/mol of atoms



Computed, not measured: a geometry-optimized Tc3As structure at the GGA-PBE level of DFT.

Geometry as extended XYZ:
```
4
Lattice="4.041 0.000 0.000 0.000 2.831 0.015 0.000 1.619 5.161" Properties=species:S:1:pos:R:3 pbc="T T T"
Tc 2.021 0.807 1.266
Tc 2.021 3.643 3.910
Tc 0.000 2.225 2.588
As 0.000 0.000 0.000
```

total magnetization	0.00	μB per cell
ΔE_f	0.090	eV per atom
calculated total energy	-8.8468	eV per atom
crystal system	monoclinic
offset from the most stable computed form	11.3	kJ/mol of atoms



Computed, not measured: a geometry-optimized TcAs3 structure at the GGA-PBE level of DFT.

Geometry as extended XYZ:
```
4
Lattice="4.097 0.000 0.000 0.000 4.097 0.000 0.000 0.000 4.097" Properties=species:S:1:pos:R:3 pbc="T T T"
As 2.049 0.000 2.049
As 2.049 2.049 0.000
As 0.000 2.049 2.049
Tc 0.000 0.000 0.000
```

total magnetization	0.00	μB per cell
ΔE_f	0.584	eV per atom
calculated total energy	-5.4948	eV per atom
crystal system	cubic
offset from the most stable computed form	62.7	kJ/mol of atoms



Computed, not measured: a geometry-optimized TcAs structure at the GGA-PBE level of DFT.

Geometry as extended XYZ:
```
4
Lattice="4.774 0.000 0.000 1.430 4.555 0.000 -3.102 -2.278 2.826" Properties=species:S:1:pos:R:3 pbc="T T T"
As 0.715 2.278 1.413
As 0.000 0.000 0.000
Tc 2.387 0.000 1.413
Tc 3.102 2.278 0.000
```

total magnetization	0.00	μB per cell
ΔE_f	0.276	eV per atom
calculated total energy	-7.2317	eV per atom
crystal system	tetragonal
offset from the most stable computed form	46.2	kJ/mol of atoms



Computed, not measured: a geometry-optimized TcAs structure at the GGA-PBE level of DFT.

Geometry as extended XYZ:
```
4
Lattice="3.058 0.000 0.000 -1.529 2.648 0.000 0.000 0.000 7.547" Properties=species:S:1:pos:R:3 pbc="T T T"
As 0.000 0.000 3.773
As 0.000 0.000 0.000
Tc 0.000 1.766 1.887
Tc 1.529 0.883 5.660
```

total magnetization	0.00	μB per cell
ΔE_f	0.063	eV per atom
calculated total energy	-7.4444	eV per atom
crystal system	hexagonal
offset from the most stable computed form	25.7	kJ/mol of atoms



Computed, not measured: a geometry-optimized Tc3As structure at the GGA-PBE level of DFT.

Geometry as extended XYZ:
```
4
Lattice="-0.455 2.856 -0.449 -1.281 -1.348 2.260 6.301 1.726 4.602" Properties=species:S:1:pos:R:3 pbc="T T T"
Tc 0.756 1.861 1.539
Tc 4.086 2.774 3.971
Tc 3.151 0.863 2.301
As 0.000 0.000 0.000
```

total magnetization	0.00	μB per cell
ΔE_f	0.040	eV per atom
calculated total energy	-8.8964	eV per atom
crystal system	hexagonal
offset from the most stable computed form	6.5	kJ/mol of atoms



Computed, not measured: a geometry-optimized Tc5As structure at the GGA-PBE level of DFT.

Geometry as extended XYZ:
```
6
Lattice="2.379 -4.120 0.000 2.379 4.120 0.000 0.000 0.000 4.449" Properties=species:S:1:pos:R:3 pbc="T T T"
Tc 2.379 -1.373 2.224
Tc 1.596 2.764 0.000
Tc 1.566 0.000 0.000
Tc 2.379 1.373 2.224
Tc 1.596 -2.764 0.000
As 0.000 0.000 2.224
```

total magnetization	0.00	μB per cell
ΔE_f	0.052	eV per atom
calculated total energy	-9.3612	eV per atom
crystal system	hexagonal
offset from the most stable computed form	2.3	kJ/mol of atoms